The following is a DFT calculation (GGA-PBE) of a relaxed structure of LaPuIrRh.

Summary:
The total energy comes out at -9.36 eV/atom. The energy of formation is -488 meV per atom.

Lattice parameters (Å, degrees): 4.9666 4.9666 4.9666 60.00 60.00 60.00
Fractional coordinates of all 4 atoms:
1 Ir 0.7500 0.7500 0.7500
2 Rh 0.2500 0.2500 0.2500
3 Pu 0.5000 0.5000 0.5000
4 La 0.0000 0.0000 0.0000

The following is a DFT calculation (GGA-PBE) of a relaxed structure of YPtSe2.

Summary:
The total energy comes out at -5.88 eV/atom. The calculation puts the uncorrected formation energy at -1012 meV/atom.

Lattice parameters (Å, degrees): 5.7181 5.7181 4.5733 89.62 89.62 39.47
Fractional coordinates of all 4 atoms:
1 Se 0.7749 0.7749 0.6175
2 Se 0.0175 0.0175 0.0315
3 Pt 0.2082 0.2082 0.3309
4 Y 0.4994 0.4994 0.5201